{"formula": "SiClF2", "functional": "PBEsol", "state": "optimized geometry", "lattice_angstrom": [[5.8454, 0.0000, 0.0000], [-2.9227, 5.1000, 0.1104], [0.0000, 3.2446, 4.8622]], "species": ["Cl", "Cl", "F", "F", "F", "F", "Si", "Si"], "fractional_positions": [[0.7500, 0.5000, 0.7500], [0.0000, 0.0000, 0.0000], [0.8750, 0.2500, 0.3750], [0.3750, 0.2500, 0.3750], [0.3750, 0.7500, 0.8750], [0.3750, 0.7500, 0.3750], [0.5000, 0.0000, 0.5000], [0.2500, 0.5000, 0.2500]], "e_form_raw_ev_per_atom": -1.2661, "total_energy_ev_per_cell": -33.35, "magnetic_moment_mub_per_cell": 0.001}